A plane-wave DFT calculation with PBE was carried out for an optimized crystal structure of HoAu2I6.

Calculated values
* formation energy from raw total energies: -582 meV/atom

Cell: 7.8602 10.6363 10.6363 Å, 87.01 78.77 78.77°
With the nearest neighbours (Å) after each atom.
Positions (direct):
I 0.0458 0.6217 0.6483  2 Au 2.65-2.78
Au 0.2818 0.3407 0.1891  3 I 2.65-2.78
I 0.9542 0.3783 0.3517  2 Au 2.65-2.78
I 0.2995 0.3481 0.9347  1 Au 2.68
I 0.5458 0.6483 0.6217  2 Au 2.65-2.78
Ho 0.7500 0.9282 0.0718  6 I 3.03-3.06
Au 0.7182 0.6593 0.8109  3 I 2.65-2.78
I 0.7005 0.6519 0.0653  1 Au 2.68
I 0.2005 0.0653 0.6519  1 Au 2.68
Au 0.2182 0.8109 0.6593  3 I 2.65-2.78
I 0.1367 0.8121 0.9855  2 Ho 3.03-3.06
Au 0.7818 0.1891 0.3407  3 I 2.65-2.78
I 0.4542 0.3517 0.3783  2 Au 2.65-2.78
Ho 0.2500 0.0718 0.9282  6 I 3.03-3.06
I 0.6367 0.9855 0.8121  2 Ho 3.03-3.06
I 0.3633 0.0145 0.1879  2 Ho 3.03-3.06
I 0.7995 0.9347 0.3481  1 Au 2.68
I 0.8633 0.1879 0.0145  2 Ho 3.03-3.06

***

A plane-wave DFT calculation with PBE was carried out for an optimized crystal structure of LaCdP2.

Calculated values
* ΔH_f (0 K): -468 meV/atom
* energy relative to the lowest polymorph listed for this composition: 0.1690 eV per atom

Cell: 4.9619 4.9619 4.9619 Å, 60.00 60.00 60.00°
With the nearest neighbours (Å) after each atom.
Positions (direct):
Cd 0.0000 0.0000 0.0000  8 P 3.04
P 0.2500 0.2500 0.2500  4 Cd 3.04, 4 La 3.04
La 0.5000 0.5000 0.5000  8 P 3.04
P 0.7500 0.7500 0.7500  4 Cd 3.04, 4 La 3.04

***

A plane-wave DFT calculation with PBE was carried out for an optimized crystal structure of PmNbB.

Calculated values
* ΔH_f (0 K): -89 meV/atom

Cell: 3.6797 3.6807 10.8340 Å, 80.44 90.00 119.99°
With the nearest neighbours (Å) after each atom.
Positions (direct):
Nb 0.1379 0.2758 0.0884  3 B 2.28-2.29
Pm 0.3942 0.7884 0.3247  3 B 2.70
Pm 0.6058 0.2116 0.6753  3 B 2.70
B 0.2211 0.4421 0.8325  3 Nb 2.28-2.29
Nb 0.8621 0.7242 0.9116  3 B 2.28-2.29
B 0.7789 0.5579 0.1675  3 Nb 2.28-2.29

***

A plane-wave DFT calculation with PBE was carried out for an optimized crystal structure of ThGe12Pt4.

Calculated values
* ΔH_f (0 K): -396 meV/atom

Cell: 7.5340 7.5340 7.5340 Å, 109.47 109.47 109.47°
With the nearest neighbours (Å) after each atom.
Positions (direct):
Ge 0.7959 0.1503 0.6456  2 Pt 2.51, 2 Ge 2.53-2.61
Ge 0.8497 0.6456 0.4953  2 Pt 2.51, 2 Ge 2.53-2.61
Ge 0.6456 0.4953 0.8497  2 Pt 2.51, 2 Ge 2.53-2.61
Ge 0.2041 0.8497 0.3544  2 Pt 2.51, 2 Ge 2.53-2.61
Ge 0.6456 0.7959 0.1503  2 Pt 2.51, 2 Ge 2.53-2.61
Pt 0.5000 0.0000 0.0000  6 Ge 2.51
Ge 0.5047 0.1503 0.3544  2 Pt 2.51, 2 Ge 2.53-2.61
Pt 0.0000 0.5000 0.0000  6 Ge 2.51
Ge 0.8497 0.3544 0.2041  2 Pt 2.51, 2 Ge 2.53-2.61
Ge 0.4953 0.8497 0.6456  2 Pt 2.51, 2 Ge 2.53-2.61
Pt 0.5000 0.5000 0.5000  6 Ge 2.51
Ge 0.3544 0.2041 0.8497  2 Pt 2.51, 2 Ge 2.53-2.61
Ge 0.1503 0.3544 0.5047  2 Pt 2.51, 2 Ge 2.53-2.61
Ge 0.1503 0.6456 0.7959  2 Pt 2.51, 2 Ge 2.53-2.61
Ge 0.3544 0.5047 0.1503  2 Pt 2.51, 2 Ge 2.53-2.61
Pt 0.0000 0.0000 0.5000  6 Ge 2.51
Th 0.0000 0.0000 0.0000  12 Ge 3.35

***

A plane-wave DFT calculation with PBE was carried out for an optimized crystal structure of LiInOs2.

Calculated values
* ΔH_f (0 K): 641 meV/atom

Cell: 2.7794 2.7794 9.1048 Å, 90.00 90.00 116.07°
With the nearest neighbours (Å) after each atom.
Positions (direct):
Os 0.0000 0.0000 0.9946  2 Li 2.67, 2 In 2.75, 6 Os 2.78-2.94
In 0.5000 0.5000 0.2500  4 Os 2.75, 6 In 2.78-2.94
Os 0.0000 0.0000 0.5054  2 Li 2.67, 2 In 2.75, 6 Os 2.78-2.94
Li 0.5000 0.5000 0.7500  4 Os 2.67, 6 Li 2.78-2.94

***

A plane-wave DFT calculation with PBE was carried out for an optimized crystal structure of La3PmAg2.

Calculated values
* ΔH_f (0 K): -158 meV/atom

Cell: 3.8034 3.8034 12.7264 Å, 90.00 90.00 90.00°
With the nearest neighbours (Å) after each atom.
Positions (direct):
Pm 0.5000 0.5000 0.5000  8 La 3.69, 4 Pm 3.80
La 0.0000 0.0000 0.6980  4 Ag 3.28
La 0.0000 0.0000 0.0000  8 Ag 3.33
Ag 0.5000 0.5000 0.8459  8 La 3.28-3.33
Ag 0.5000 0.5000 0.1541  8 La 3.28-3.33
La 0.0000 0.0000 0.3020  4 Ag 3.28

***

| no. | Fermi-level density of states (states/eV per cell) |
| --- | --- |
| 1 | 5.3 |
| 2 | 3.4 |
| 3 | 4.9 |
| 4 | 11.4 |
| 5 | 4.0 |
| 6 | 7.5 |